LiVF4 | PBE+U | relaxed

a b c (Å): 4.765 5.683 5.608
angles (deg): 66.35 90.00 90.00
Site moments in Bohr magnetons follow the coordinates.
Atoms (fractional coordinates):
Li (0.030, 0.250, 0.000)  0.00
Li (0.530, 0.750, 0.000)  0.00
V (0.030, 0.750, 0.500)  1.92
V (0.530, 0.250, 0.500)  1.92
F (0.213, 0.612, 0.833)  0.00
F (0.234, 0.096, 0.359)  0.00
F (0.325, 0.596, 0.359)  0.00
F (0.346, 0.112, 0.833)  0.00
F (0.713, 0.388, 0.167)  0.00
F (0.734, 0.904, 0.641)  0.00
F (0.825, 0.404, 0.641)  0.00
F (0.846, 0.888, 0.167)  0.00

Calculated values
- SG: No. 14
- DOS(E_F): 0.00 states/eV/cell
- Energy above the most stable polymorph in this dataset: 0.0062 eV per atom
- Mass density: 3.20 g/cm³
- Total DFT energy (no corrections): -5.722 eV per atom